# 1
The following is a GGA-PBE calculation of P2Pb4SO12 after structural relaxation, from the Alexandria database.

Uncorrected formation energy (meV per atom): -1769

a = 9.2566 Å, b = 9.2566 Å, c = 9.2566 Å
α = 109.48°, β = 109.48°, γ = 109.46°
Fractional coordinates of all 38 atoms:
P (0.3750, 0.2487, 0.3737)
P (0.7513, 0.1250, 0.1263)
P (0.8750, 0.0013, 0.6263)
P (0.9987, 0.6250, 0.8737)
Pb (0.1111, 0.3621, 0.0909)
Pb (0.1121, 0.3611, 0.5909)
Pb (0.2712, 0.0203, 0.9091)
Pb (0.4788, 0.8879, 0.2490)
Pb (0.6379, 0.7288, 0.7490)
Pb (0.6389, 0.2297, 0.7510)
Pb (0.7703, 0.5212, 0.4091)
Pb (0.9797, 0.8889, 0.2510)
S (0.2500, 0.7500, 0.5000)
S (0.5000, 0.5000, 0.0000)
O (0.0311, 0.1279, 0.8205)
O (0.0715, 0.7291, 0.4592)
O (0.1926, 0.7821, 0.0009)
O (0.2179, 0.2187, 0.4105)
O (0.2699, 0.6123, 0.5408)
O (0.2709, 0.7301, 0.3424)
O (0.3075, 0.2106, 0.1795)
O (0.3623, 0.5199, 0.0408)
O (0.3877, 0.9285, 0.6576)
O (0.4425, 0.1221, 0.4032)
O (0.4791, 0.3215, 0.9592)
O (0.4801, 0.5209, 0.8424)
O (0.5321, 0.4426, 0.5009)
O (0.5574, 0.0583, 0.0895)
O (0.6785, 0.6377, 0.1576)
O (0.7189, 0.0394, 0.5968)
O (0.7813, 0.1917, 0.9991)
O (0.7894, 0.9689, 0.0968)
O (0.8083, 0.8074, 0.5895)
O (0.8721, 0.6925, 0.9032)
O (0.8779, 0.2811, 0.3205)
O (0.9417, 0.0313, 0.4991)
O (0.9606, 0.5575, 0.6795)
O (0.9687, 0.4679, 0.9105)

# 2
The following is a GGA-PBE calculation of NaCeAg2Cl6 after structural relaxation, from the Alexandria database.

Uncorrected formation energy (meV per atom): -1396

a = 7.1372 Å, b = 7.0766 Å, c = 12.6903 Å
α = 90.00°, β = 123.12°, γ = 90.00°
Fractional coordinates of all 20 atoms:
Na (0.0000, 0.0000, 0.0000)
Na (0.0000, 0.5000, 0.5000)
Ce (0.5000, 0.0000, 0.5000)
Ce (0.5000, 0.5000, 0.0000)
Ag (0.2304, 0.0364, 0.7438)
Ag (0.2304, 0.4636, 0.2438)
Ag (0.7696, 0.5364, 0.7562)
Ag (0.7696, 0.9636, 0.2562)
Cl (0.1344, 0.1114, 0.2592)
Cl (0.1344, 0.3886, 0.7592)
Cl (0.2286, 0.6631, 0.0665)
Cl (0.2286, 0.8369, 0.5665)
Cl (0.4286, 0.1657, 0.0835)
Cl (0.4286, 0.3343, 0.5835)
Cl (0.5714, 0.6657, 0.4165)
Cl (0.5714, 0.8343, 0.9165)
Cl (0.7714, 0.1631, 0.4335)
Cl (0.7714, 0.3369, 0.9335)
Cl (0.8656, 0.6114, 0.2408)
Cl (0.8656, 0.8886, 0.7408)

# 3
The following is a GGA-PBE calculation of Ac2Cu3Pd2 after structural relaxation, from the Alexandria database.

ΔE_f (meV per atom): -448.8

a = 10.7998 Å, b = 4.3847 Å, c = 6.6857 Å
α = 90.00°, β = 103.04°, γ = 90.00°
Fractional coordinates of all 14 atoms:
Ac (0.1660, 0.0000, 0.2261)
Ac (0.3340, 0.5000, 0.7739)
Ac (0.6660, 0.5000, 0.2261)
Ac (0.8340, 0.0000, 0.7739)
Cu (0.0000, 0.5000, 0.5000)
Cu (0.0628, 0.5000, 0.8737)
Cu (0.4372, 0.0000, 0.1263)
Cu (0.5000, 0.0000, 0.5000)
Cu (0.5628, 0.0000, 0.8737)
Cu (0.9372, 0.5000, 0.1263)
Pd (0.1099, 0.0000, 0.6871)
Pd (0.3901, 0.5000, 0.3129)
Pd (0.6099, 0.5000, 0.6871)
Pd (0.8901, 0.0000, 0.3129)

The N(E_F) results, record by record, are as follows: 0.0; 16.3; 6.4 states/eV per cell.